AcPd3Pb: relaxed, PBE.

The electronic total energy is -5.06 eV per atom. Its space group is Pbam.

```
10
Lattice="5.4672 0.0000 0.0000 0.0000 5.7308 0.0000 0.0000 0.0000 7.9394" Properties=species:S:1:pos:R:3 pbc="T T T"
Pb 0.0000 2.8654 0.0000
Pb 0.0000 0.0000 3.9697
Pd 0.0000 3.2922 2.6252
Pd 2.7336 0.0000 3.9697
Pd 2.7336 2.8654 0.0000
Pd 0.0000 2.4386 5.3143
Pd 0.0000 5.3040 6.5949
Pd 0.0000 0.4268 1.3445
Ac 2.7336 2.8654 3.9697
Ac 2.7336 0.0000 0.0000
```

=====

AgSe3: relaxed, PBE.

The energy relative to the elements, uncorrected comes out at 15 kJ/mol of atoms. Its space group is Imm2.

```
4
Lattice="-3.2496 -3.5004 4.4890 -2.2375 -6.0662 -1.0760 5.0994 4.1132 0.2026" Properties=species:S:1:pos:R:3 pbc="T T T"
Se -1.3389 -3.1153 2.5793
Se -3.0422 -6.0850 3.6387
Se 2.3433 -0.6743 1.8771
Ag 0.1399 0.0463 0.3548
```

=====

FePd2Rh: relaxed, PBE.

The electronic total energy is -6.15 eV per atom. Its space group is I-42d.

```
8
Lattice="6.9673 0.0000 0.0000 0.0000 6.9673 0.0000 3.4837 3.4837 2.6066" Properties=species:S:1:pos:R:3 pbc="T T T"
Rh 6.9673 3.4837 1.3033
Rh 0.0000 0.0000 0.0000
Pd 8.7092 8.5376 1.9549
Pd 5.2255 5.3970 1.9549
Pd 1.9134 5.2255 0.6516
Pd 5.0540 1.7418 0.6516
Fe 3.4837 6.9673 1.3033
Fe 3.4837 3.4837 0.0000
```